{
  "formula": "KPrNi4O12",
  "functional": "GGA+U",
  "state": "relaxed",
  "cell": [[-0.6462, 5.4004, 0.0274], [-3.3897, -0.4295, 4.2318], [5.9803, 0.6909, 4.8604]],
  "species": ["K", "Pr", "Ni", "Ni", "Ni", "Ni", "O", "O", "O", "O", "O", "O", "O", "O", "O", "O", "O", "O"],
  "fractional_positions": [[0.9998, 0.9998, 0.0000], [0.5003, 0.5003, 0.5000], [0.0000, 0.4999, 0.7539], [0.0000, 0.4999, 0.2461], [0.4999, 0.0000, 0.2461], [0.4999, 0.0000, 0.7539], [0.2652, 0.7347, 0.7336], [0.7347, 0.2652, 0.7336], [0.7347, 0.2652, 0.2664], [0.2652, 0.7347, 0.2664], [0.7352, 0.7352, 0.7341], [0.2650, 0.2650, 0.7331], [0.2650, 0.2650, 0.2669], [0.7352, 0.7352, 0.2659], [0.0003, 0.4995, 0.0000], [0.9987, 0.5004, 0.5000], [0.4995, 0.0003, 0.0000], [0.5004, 0.9987, 0.5000]],
  "final_energy_ev_per_cell": -84.60,
  "dos_ef_per_ev_fu": 10.61
}